1.
A relaxed structure of ReHIr3. Source: Alexandria, functional GGA-PBEsol.

Cell: 4.688 4.688 4.688 Å, 90.00 90.00 90.00°
Atoms (fractional coordinates):
Ir 0.000 0.000 0.500
Ir 0.500 0.000 0.000
Ir 0.000 0.500 0.000
H 0.500 0.500 0.500
Re 0.000 0.000 0.000


2.
A relaxed structure of ReHIr2. Source: Alexandria, functional GGA-PBEsol.

Cell: 5.001 5.001 5.001 Å, 104.80 104.80 119.28°
Atoms (fractional coordinates):
H 0.750 0.250 0.500
H 0.500 0.500 0.000
Ir 0.473 0.375 0.598
Ir 0.625 0.223 0.098
Ir 0.777 0.875 0.402
Ir 0.125 0.527 0.902
Re 0.000 0.000 0.000
Re 0.250 0.750 0.500


3.
A relaxed structure of H2IrRh2. Source: Alexandria, functional GGA-PBEsol.

Cell: 2.761 2.761 6.472 Å, 102.31 102.31 90.00°
Atoms (fractional coordinates):
H 0.750 0.250 0.500
H 0.250 0.750 0.500
Ir 0.000 0.000 0.000
Rh 0.350 0.350 0.699
Rh 0.650 0.650 0.301


4.
A relaxed structure of HIr2Rh. Source: Alexandria, functional GGA-PBEsol.

Cell: 4.108 4.108 4.108 Å, 60.00 60.00 60.00°
Atoms (fractional coordinates):
Ir 0.750 0.750 0.750
Ir 0.250 0.250 0.250
H 0.000 0.000 0.000
Rh 0.500 0.500 0.500


5.
A relaxed structure of HIr3Rh. Source: Alexandria, functional GGA-PBEsol.

Cell: 4.649 4.649 4.649 Å, 90.00 90.00 90.00°
Atoms (fractional coordinates):
Ir 0.500 0.000 0.000
Ir 0.000 0.000 0.500
Ir 0.000 0.500 0.000
H 0.500 0.500 0.500
Rh 0.000 0.000 0.000


6.
A relaxed structure of H3IrRu. Source: Alexandria, functional GGA-PBEsol.

Cell: 3.347 3.347 3.347 Å, 90.00 90.00 90.00°
Atoms (fractional coordinates):
H 0.000 0.500 0.000
H 0.000 0.000 0.500
H 0.500 0.000 0.000
Ir 0.500 0.500 0.500
Ru 0.000 0.000 0.000


no.,magnetization (μB/f.u.),mass density (g cm⁻³),total energy (eV per atom)
1,0.869,12.31,-6.72
2,0.000,20.17,-8.74
3,0.000,14.13,-6.48
4,0.000,16.54,-7.03
5,1.917,11.25,-5.42
6,0.003,13.12,-5.44